Crystalline Ac8Sn3Ge4 at its relaxed geometry, computed with PBE.

Cell: 13.307 13.309 9.281 Å, 90.00 134.09 90.00°
Space group C2/m (No. 12)
One atom of each set of equivalent atoms:
Ac: 0.000 0.236 0.000
Ac: 0.000 0.243 0.500
Ac: 0.227 0.000 0.470
Ac: 0.229 0.000 0.985
Sn: 0.000 0.500 0.500
Sn: 0.250 0.250 0.500
Ge: 0.000 0.000 0.000
Ge: 0.000 0.000 0.500
Ge: 0.250 0.250 0.000

Properties
electronic total energy: -4.739 eV/atom
total magnetization: 0.0 μB/f.u.
energy of formation from the pure elements: -0.52 eV/atom